# 1
Entry from Alexandria via LeMat-Bulk: a relaxed Be2AsRh crystal (PBE).

The structure in extended XYZ format:
```
4
Lattice="2.8488 0.0000 0.0000 0.0000 3.9527 0.0000 0.0000 0.0000 4.2157" Properties=species:S:1:pos:R:3 pbc="T T T"
Be 0.0000 0.0000 0.0000
Be 0.0000 1.9763 1.3587
As 1.4244 0.0000 1.9770
Rh 1.4244 1.9763 3.5621
```

Values from the calculation:
As for the formation energy from the elements: -60 kJ/mol of formula units. Its space-group type is No. 25.

***

# 2
Entry from Alexandria via LeMat-Bulk: a relaxed LiAl4Zn8 crystal (PBE).

The structure in extended XYZ format:
```
13
Lattice="3.1105 1.7959 6.6492 -3.1105 1.7959 6.6492 0.0000 -3.5917 6.6492" Properties=species:S:1:pos:R:3 pbc="T T T"
Li 0.0000 0.0000 0.0000
Al -1.5553 -0.8979 6.6492
Al -1.5553 0.8979 13.2983
Al 0.0000 1.7959 6.6492
Al 0.0000 0.0000 9.9737
Zn -1.8286 -1.0558 11.2246
Zn 0.0000 0.0000 4.5024
Zn 0.0000 -2.1115 8.7228
Zn -1.8286 1.0558 8.7228
Zn 1.8286 -1.0558 11.2246
Zn 0.0000 2.1115 11.2246
Zn 0.0000 0.0000 15.4451
Zn 1.8286 1.0558 8.7228
```

Values from the calculation:
As for the formation energy from the elements: 196 kJ/mol of formula units. Its space-group type is No. 166.

***

# 3
Entry from Alexandria via LeMat-Bulk: a relaxed Ta2TlPt crystal (PBE).

The structure in extended XYZ format:
```
4
Lattice="1.8585 -2.2584 0.0000 1.8585 2.2584 0.0000 0.0000 0.0000 9.0065" Properties=species:S:1:pos:R:3 pbc="T T T"
Ta 0.0000 0.0000 0.0000
Ta 1.8585 0.0000 2.2010
Tl 0.0000 0.0000 4.6761
Pt 1.8585 0.0000 7.0277
```

Values from the calculation:
As for the formation energy from the elements: 5 kJ/mol of formula units. Its space-group type is No. 35. The polymorph energy (0 for the lowest one) comes out at 0.000 eV/atom.

***

# 4
Entry from Alexandria via LeMat-Bulk: a relaxed Pr12Sm6Tm crystal (PBE).

The structure in extended XYZ format:
```
19
Lattice="6.1641 3.5589 5.1548 -6.1641 3.5589 5.1548 0.0000 -7.1177 5.1548" Properties=species:S:1:pos:R:3 pbc="T T T"
Pr -2.1171 -0.0199 2.9383
Pr 1.0757 -1.8235 2.9383
Pr -2.1413 -0.5081 6.4378
Pr 1.0414 1.8434 2.9383
Pr -0.6306 -2.1085 9.0265
Pr 1.5107 -1.6004 6.4378
Pr -1.5107 1.6004 9.0265
Pr 0.6306 2.1085 6.4378
Pr -1.0413 -1.8434 12.5260
Pr 2.1414 0.5081 9.0265
Pr -1.0757 1.8235 12.5260
Pr 2.1171 0.0199 12.5260
Sm -1.0091 -3.7252 5.4606
Sm -2.7216 2.7366 5.4606
Sm -3.7307 -0.9887 10.0037
Sm 3.7307 0.9887 5.4606
Sm 2.7216 -2.7366 10.0037
Sm 1.0091 3.7252 10.0037
Tm 0.0000 0.0000 0.0000
```

Values from the calculation:
As for the formation energy from the elements: 229 kJ/mol of formula units. Its space-group type is No. 148. The polymorph energy (0 for the lowest one) comes out at 0.000 eV/atom.